1.
MnIn2Rh | PBE-GGA | optimized geometry

The structure belongs to space group C2/m (No. 12); the cell edges are 9.042, 3.212 and 5.148 Å and the angles 90.00°, 101.88° and 90.00°. Symmetry generates all atoms from Mn at (0.000, 0.000, 0.000), In at (0.245, 0.000, 0.742) and Rh at (0.000, 0.500, 0.500).

The formation energy is 0.02 eV/atom. The total energy is -21.9 eV per formula unit.

2.
Y3Te2 | PBE-GGA | optimized geometry

The structure belongs to space group R-3m (No. 166, hexagonal axes); the cell edges are 4.1106, 4.1106 and 31.8611 Å and the angles 90.00°, 90.00° and 120.00°. Symmetry generates all atoms from Y at (0.0000, 0.0000, 0.0000), Y at (0.0000, 0.0000, 0.2092) and Te at (0.0000, 0.0000, 0.3940).

The total energy is -30.8 eV per formula unit. The value obtained for the formation energy without anion corrections is -1.016 eV/atom.

3.
Pr4Ga12Pt | PBE-GGA | optimized geometry

The structure belongs to space group Im-3m (No. 229); the cell edges are 8.831, 8.831 and 8.831 Å and the angles 90.00°, 90.00° and 90.00°. Symmetry generates all atoms from Pr at (0.250, 0.250, 0.250), Ga at (0.000, 0.000, 0.297), Ga at (0.000, 0.250, 0.500) and Pt at (0.000, 0.000, 0.000).

The formation energy is -0.64 eV/atom. The total energy is -72.3 eV per formula unit.

4.
AlAs2Pb | PBE-GGA | optimized geometry

The structure belongs to space group I-42d (No. 122); the cell edges are 6.202, 6.202 and 12.102 Å and the angles 90.00°, 90.00° and 90.00°. Symmetry generates all atoms from Al at (0.000, 0.000, 0.000), As at (0.196, 0.250, 0.125) and Pb at (0.000, 0.000, 0.500).

The formation energy is -0.12 eV/atom. The total energy is -17.2 eV per formula unit. The energy above the lowest structure with this stoichiometry comes out at 0.0 kJ/mol of atoms.